# 1
## AcHo2Sc (PBE)

Data for a geometry-optimized AcHo2Sc structure.

Total magnetization, μB per formula unit: 0.00
Total DFT energy (no corrections), eV per cell: -56.25

a = 3.5205 Å, b = 3.5205 Å, c = 36.9272 Å
α = 90.00°, β = 90.00°, γ = 120.00°
With the nearest neighbours (Å) after each atom.
Space group R-3m (No. 166, hexagonal axes)
Unique sites:
Ac 0.0000 0.0000 0.0000 x3  2 Ho 3.52, 6 Ac 3.52
Ho 0.0000 0.0000 0.0953 x6  3 Sc 3.33, 1 Ac 3.52, 6 Ho 3.52
Sc 0.0000 0.0000 0.5000 x3  6 Ho 3.33, 6 Sc 3.52

---

# 2
## Pr2ErAg3 (PBE)

Data for a geometry-optimized Pr2ErAg3 structure.

Total magnetization, μB per formula unit: 0.00
Total DFT energy (no corrections), eV per cell: -24.34

a = 3.6884 Å, b = 3.6884 Å, c = 11.3666 Å
α = 90.00°, β = 90.00°, γ = 90.00°
With the nearest neighbours (Å) after each atom.
Space group P4/mmm (No. 123)
Unique sites:
Pr 0.0000 0.0000 0.1727 x2  8 Ag 3.26-3.31
Er 0.0000 0.0000 0.5000 x1  8 Ag 3.10
Ag 0.5000 0.5000 0.0000 x1  8 Pr 3.26
Ag 0.5000 0.5000 0.3518 x2  4 Er 3.10, 4 Pr 3.31, 1 Ag 3.37

---

# 3
## ZnIr3N (PBE)

Data for a geometry-optimized ZnIr3N structure.

Uncorrected formation energy, eV/atom: 2.90
Total magnetization, μB per formula unit: 6.00
Total DFT energy (no corrections), eV per cell: -21.70

a = 4.5833 Å, b = 4.5833 Å, c = 4.5833 Å
α = 90.00°, β = 90.00°, γ = 90.00°
With the nearest neighbours (Å) after each atom.
Space group Pm-3m (No. 221)
Unique sites:
Zn 0.0000 0.0000 0.0000 x1  6 Ir 2.29
Ir 0.0000 0.0000 0.5000 x3  2 Zn 2.29
N 0.5000 0.5000 0.5000 x1  12 Ir 3.24

---

# 4
## Rb14PbO (PBE)

Data for a geometry-optimized Rb14PbO structure.

Uncorrected formation energy, eV/atom: -0.14
Total magnetization, μB per formula unit: 0.00
Total DFT energy (no corrections), eV per cell: -48.98

a = 12.5582 Å, b = 11.4965 Å, c = 17.8211 Å
α = 90.00°, β = 90.00°, γ = 90.00°
With the nearest neighbours (Å) after each atom.
Space group Amm2 (No. 38)
Unique sites:
Rb 0.0000 0.0000 0.0000 x2  12 Rb 4.97-5.48
Rb 0.0000 0.0000 0.4358 x2  8 Rb 4.83-5.27
Rb 0.0000 0.2046 0.7223 x4  5 Rb 4.70-5.22
Rb 0.2809 0.0000 0.2159 x4  1 Pb 3.92
Rb 0.3076 0.2280 0.5052 x8  1 Pb 4.07, 2 Rb 4.19-4.29
Rb 0.3349 0.0000 0.8501 x4  1 O 2.53
Rb 0.5000 0.1956 0.7033 x4  1 O 2.53
Pb 0.5000 0.0000 0.0594 x2  10 Rb 3.92-4.34
O 0.5000 0.0000 0.7687 x2  4 Rb 2.53

---

# 5
## BWS2Cl (PBE)

Data for a geometry-optimized BWS2Cl structure.

Uncorrected formation energy, eV/atom: 1.09
Total magnetization, μB per formula unit: 2.59
Total DFT energy (no corrections), eV per cell: -24.30

a = 4.2434 Å, b = 4.2434 Å, c = 4.0566 Å
α = 90.00°, β = 90.00°, γ = 90.00°
With the nearest neighbours (Å) after each atom.
Space group P4/mmm (No. 123)
Unique sites:
B 0.0000 0.0000 0.0000 x1  2 Cl 2.03, 4 S 2.12
W 0.5000 0.5000 0.5000 x1  8 S 2.94, 4 Cl 3.00
S 0.0000 0.5000 0.0000 x2  2 B 2.12
Cl 0.0000 0.0000 0.5000 x1  2 B 2.03

---

# 6
## Nb3SeO (PBE)

Data for a geometry-optimized Nb3SeO structure.

Uncorrected formation energy, eV/atom: -0.52
Total magnetization, μB per formula unit: 0.00
Total DFT energy (no corrections), eV per cell: -41.24

a = 4.2822 Å, b = 4.2822 Å, c = 4.2822 Å
α = 90.00°, β = 90.00°, γ = 90.00°
With the nearest neighbours (Å) after each atom.
Space group Pm-3m (No. 221)
Unique sites:
Nb 0.0000 0.0000 0.5000 x3  2 O 2.14
Se 0.5000 0.5000 0.5000 x1  12 Nb 3.03
O 0.0000 0.0000 0.0000 x1  6 Nb 2.14

---

# 7
## Sc2BIrC (PBE)

Data for a geometry-optimized Sc2BIrC structure.

Total magnetization, μB per formula unit: 0.00
Total DFT energy (no corrections), eV per cell: -37.61

a = 4.4481 Å, b = 4.4481 Å, c = 3.8349 Å
α = 90.00°, β = 90.00°, γ = 90.00°
With the nearest neighbours (Å) after each atom.
Space group P4/mmm (No. 123)
Unique sites:
Sc 0.0000 0.5000 0.0000 x2  2 C 2.22
B 0.0000 0.0000 0.5000 x1  8 Sc 2.94, 4 Ir 3.15
Ir 0.5000 0.5000 0.5000 x1  2 C 1.92
C 0.5000 0.5000 0.0000 x1  2 Ir 1.92

---

# 8
## LiThZnSn (PBE)

Data for a geometry-optimized LiThZnSn structure.

Total magnetization, μB per formula unit: 0.00
Total DFT energy (no corrections), eV per cell: -62.41

a = 7.2514 Å, b = 7.2514 Å, c = 7.2514 Å
α = 90.00°, β = 90.00°, γ = 90.00°
With the nearest neighbours (Å) after each atom.
Space group F-43m (No. 216)
Unique sites:
Li 0.0000 0.0000 0.0000 x4  4 Sn 3.14, 4 Zn 3.14
Th 0.0000 0.0000 0.5000 x4  4 Sn 3.14, 4 Zn 3.14
Zn 0.2500 0.2500 0.2500 x4  4 Th 3.14, 4 Li 3.14
Sn 0.2500 0.2500 0.7500 x4  4 Th 3.14, 4 Li 3.14

---

> Which formula does entry 7 have?

Sc2BIrC

---

> What is the total magnetization in the second record?

0.00 μB per formula unit